Ba2NaAgBr | Alexandria | GGA-PBE | relaxed; formation energy without anion corrections = -0.9 eV/f.u.; V = 226 Å³/cell
1.0
6.6852 0.0000 0.0000
0.0000 6.6852 0.0000
0.0000 0.0000 5.0519
Ba Na Ag Br
2 1 1 1
direct
0.0000 0.5000 0.0000
0.5000 0.0000 0.0000
0.0000 0.0000 0.0000
0.0000 0.0000 0.5000
0.5000 0.5000 0.5000

---

BaNdAg2Br8 | Alexandria | GGA-PBE | relaxed; formation energy without anion corrections = -14.9 eV/f.u.; V = 400 Å³/cell
1.0
-3.6428 3.6428 7.5404
3.6428 -3.6428 7.5404
3.6428 3.6428 -7.5404
Ba Nd Ag Br
1 1 2 8
direct
0.0000 0.0000 0.0000
0.7500 0.2500 0.5000
0.2500 0.7500 0.5000
0.5000 0.5000 0.0000
0.0018 0.9674 0.6069
0.0326 0.6396 0.0345
0.1250 0.2640 0.5612
0.3604 0.3949 0.3931
0.4362 0.8750 0.1390
0.6051 0.9982 0.9655
0.7028 0.5638 0.4388
0.7360 0.2972 0.8610

---

BaNdAgBr6 | Alexandria | GGA-PBE | relaxed; formation energy without anion corrections = -14.5 eV/f.u.; V = 684 Å³/cell
1.0
7.4368 0.0000 0.0000
-3.7184 6.4405 0.0000
0.0000 0.0000 14.2912
Ba Nd Ag Br
2 2 2 12
direct
0.0000 0.0000 0.0000
0.0000 0.0000 0.5000
0.3333 0.6667 0.2500
0.6667 0.3333 0.7500
0.3333 0.6667 0.7500
0.6667 0.3333 0.2500
0.0013 0.3593 0.1327
0.0013 0.6420 0.3673
0.3580 0.3593 0.3673
0.3580 0.9987 0.1327
0.3593 0.0013 0.6327
0.3593 0.3580 0.8673
0.6407 0.6420 0.1327
0.6407 0.9987 0.3673
0.6420 0.0013 0.8673
0.6420 0.6407 0.6327
0.9987 0.3580 0.6327
0.9987 0.6407 0.8673

---

BaAg6BrO4 | Alexandria | GGA-PBE | relaxed; formation energy without anion corrections = -1.6 eV/f.u.; V = 222 Å³/cell
1.0
5.7356 0.0000 0.0000
-2.8678 4.9672 0.0000
0.0000 0.0000 7.7800
Ba Ag Br O
1 6 1 4
direct
0.0000 0.0000 0.0000
0.0000 0.5000 0.3261
0.0000 0.5000 0.6739
0.5000 0.0000 0.3261
0.5000 0.0000 0.6739
0.5000 0.5000 0.3261
0.5000 0.5000 0.6739
0.0000 0.0000 0.5000
0.3333 0.6667 0.1013
0.3333 0.6667 0.8987
0.6667 0.3333 0.1013
0.6667 0.3333 0.8987

---

Ba2AgBrO2 | Alexandria | GGA-PBE | relaxed; formation energy without anion corrections = -11.6 eV/f.u.; V = 169 Å³/cell
1.0
2.1676 1.2515 10.4087
-2.1676 1.2515 10.4087
0.0000 -2.5029 10.4087
Ba Ag Br O
2 1 1 2
direct
0.2449 0.2449 0.2449
0.7551 0.7551 0.7551
0.0000 0.0000 0.0000
0.5000 0.5000 0.5000
0.0659 0.0659 0.0659
0.9341 0.9341 0.9341

---

BaAg4BrO2 | Alexandria | GGA-PBE | relaxed; formation energy without anion corrections = -3.6 eV/f.u.; V = 162 Å³/cell
1.0
3.8901 0.0000 0.0000
0.0000 3.8901 0.0000
0.0000 0.0000 10.6789
Ba Ag Br O
1 4 1 2
direct
0.0000 0.0000 0.0000
0.0000 0.5000 0.2816
0.0000 0.5000 0.7184
0.5000 0.0000 0.2816
0.5000 0.0000 0.7184
0.0000 0.0000 0.5000
0.5000 0.5000 0.1326
0.5000 0.5000 0.8674

---

BaAgOs2Br | Alexandria | GGA-PBE | relaxed; formation energy without anion corrections = 7.7 eV/f.u.; V = 160 Å³/cell
1.0
4.9599 0.0000 0.0000
0.0000 4.9599 0.0000
0.0000 0.0000 6.5118
Ba Ag Os Br
1 1 2 1
direct
0.0000 0.0000 0.0000
0.0000 0.0000 0.5000
0.0000 0.5000 0.5000
0.5000 0.0000 0.5000
0.5000 0.5000 0.0000

---

BaAg2OsBr8 | Alexandria | GGA-PBE | relaxed; formation energy without anion corrections = -8.0 eV/f.u.; V = 390 Å³/cell
1.0
6.6342 0.0000 0.0000
-2.3318 6.6171 0.0000
-0.1998 -0.3403 8.8879
Ba Ag Os Br
1 2 1 8
direct
0.0000 0.0000 0.0000
0.0198 0.5147 0.2306
0.9802 0.4853 0.7694
0.0000 0.0000 0.5000
0.2078 0.7645 0.4805
0.2374 0.2290 0.3146
0.2538 0.2075 0.7048
0.2763 0.6970 0.9863
0.7237 0.3030 0.0137
0.7462 0.7925 0.2952
0.7626 0.7710 0.6854
0.7922 0.2355 0.5195

---

Ba8AgP3Br4 | Alexandria | GGA-PBE | relaxed; formation energy without anion corrections = -21.9 eV/f.u.; V = 619 Å³/cell
1.0
4.7287 2.7301 7.9941
-4.7287 2.7301 7.9941
0.0000 -5.4603 7.9941
Ba Ag P Br
8 1 3 4
direct
0.2272 0.7463 0.7463
0.2380 0.2380 0.2380
0.2537 0.2537 0.7728
0.2537 0.7728 0.2537
0.7463 0.2272 0.7463
0.7463 0.7463 0.2272
0.7620 0.7620 0.7620
0.7728 0.2537 0.2537
0.5000 0.5000 0.5000
0.0000 0.0000 0.5000
0.0000 0.5000 0.0000
0.5000 0.0000 0.0000
0.0000 0.0000 0.0000
0.0000 0.5000 0.5000
0.5000 0.0000 0.5000
0.5000 0.5000 0.0000

---

BaAg2PBr | Alexandria | GGA-PBE | relaxed; formation energy without anion corrections = 1.2 eV/f.u.; V = 155 Å³/cell
1.0
5.1390 0.0000 0.0000
0.0000 5.1390 0.0000
0.0000 0.0000 5.8610
Ba Ag P Br
1 2 1 1
direct
0.0000 0.0000 0.0000
0.0000 0.5000 0.5000
0.5000 0.0000 0.5000
0.5000 0.5000 0.0000
0.5000 0.5000 0.5000

---

Ba4AgPBr2 | Alexandria | GGA-PBE | relaxed; formation energy without anion corrections = -9.5 eV/f.u.; V = 316 Å³/cell
1.0
8.3118 0.0000 0.0000
0.0000 4.7138 0.0000
-2.4643 0.0000 8.0674
Ba Ag P Br
4 1 1 2
direct
0.2263 0.0000 0.2133
0.2435 0.5000 0.7692
0.7565 0.5000 0.2308
0.7737 0.0000 0.7867
0.5000 0.0000 0.0000
0.0000 0.5000 0.0000
0.0000 0.0000 0.5000
0.5000 0.5000 0.5000

---

Ba8AgP3Br3 | Alexandria | GGA-PBE | relaxed; formation energy without anion corrections = -18.4 eV/f.u.; V = 607 Å³/cell
1.0
4.7163 2.7230 7.8828
-4.7163 2.7230 7.8828
0.0000 -5.4459 7.8828
Ba Ag P Br
8 1 3 3
direct
0.2211 0.7537 0.7537
0.2396 0.2396 0.2396
0.2463 0.2463 0.7789
0.2463 0.7789 0.2463
0.7537 0.2211 0.7537
0.7537 0.7537 0.2211
0.7604 0.7604 0.7604
0.7789 0.2463 0.2463
0.5000 0.5000 0.5000
0.0000 0.0000 0.5000
0.0000 0.5000 0.0000
0.5000 0.0000 0.0000
0.0000 0.5000 0.5000
0.5000 0.0000 0.5000
0.5000 0.5000 0.0000

---

BaAgPdBr6 | Alexandria | GGA-PBE | relaxed; formation energy without anion corrections = -7.5 eV/f.u.; V = 306 Å³/cell
1.0
6.8394 0.0000 0.0000
-0.2374 7.0275 0.0000
-0.1945 -3.0522 6.3658
Ba Ag Pd Br
1 1 1 6
direct
0.0000 0.0000 0.0000
0.5004 0.3147 0.6893
0.5006 0.6635 0.3375
0.2656 0.9632 0.6125
0.2862 0.3766 0.3632
0.2872 0.6432 0.0314
0.7138 0.6370 0.6224
0.7149 0.9719 0.3591
0.7364 0.3897 0.0378

---

Ba6AgPd2Br3 | Alexandria | GGA-PBE | relaxed; formation energy without anion corrections = -12.6 eV/f.u.; V = 473 Å³/cell
1.0
10.7869 -2.3133 0.0000
10.7869 2.3133 0.0000
-3.3198 0.0000 9.4802
Ba Ag Pd Br
6 1 2 3
direct
0.0097 0.0097 0.2448
0.3243 0.3243 0.4383
0.3355 0.3355 0.8929
0.6645 0.6645 0.1071
0.6757 0.6757 0.5617
0.9903 0.9903 0.7552
0.5000 0.5000 0.0000
0.1660 0.1660 0.3312
0.8340 0.8340 0.6688
0.1660 0.1660 0.8313
0.5000 0.5000 0.5000
0.8340 0.8340 0.1687

---

BaAg2PdBr | Alexandria | GGA-PBE | relaxed; formation energy without anion corrections = 4.0 eV/f.u.; V = 207 Å³/cell
1.0
6.1446 0.0000 0.0000
0.0000 6.1446 0.0000
0.0000 0.0000 5.4924
Ba Ag Pd Br
1 2 1 1
direct
0.0000 0.0000 0.0000
0.0000 0.5000 0.0000
0.5000 0.0000 0.0000
0.0000 0.0000 0.5000
0.5000 0.5000 0.5000

---

BaPrAg2Br8 | Alexandria | GGA-PBE | relaxed; formation energy without anion corrections = -14.9 eV/f.u.; V = 403 Å³/cell
1.0
-3.6527 3.6527 7.5446
3.6527 -3.6527 7.5446
3.6527 3.6527 -7.5446
Ba Pr Ag Br
1 1 2 8
direct
0.0000 0.0000 0.0000
0.7500 0.2500 0.5000
0.2500 0.7500 0.5000
0.5000 0.5000 0.0000
0.0021 0.9655 0.6066
0.0345 0.6411 0.0366
0.1261 0.2640 0.5612
0.3589 0.3955 0.3934
0.4352 0.8739 0.1379
0.6045 0.9979 0.9634
0.7027 0.5648 0.4388
0.7360 0.2973 0.8621

---

BaPrAgBr6 | Alexandria | GGA-PBE | relaxed; formation energy without anion corrections = -14.5 eV/f.u.; V = 689 Å³/cell
1.0
7.4544 0.0000 0.0000
-3.7272 6.4557 0.0000
0.0000 0.0000 14.3180
Ba Pr Ag Br
2 2 2 12
direct
0.0000 0.0000 0.0000
0.0000 0.0000 0.5000
0.3333 0.6667 0.2500
0.6667 0.3333 0.7500
0.3333 0.6667 0.7500
0.6667 0.3333 0.2500
0.0007 0.3584 0.6323
0.0007 0.6423 0.8677
0.3584 0.0007 0.1323
0.3584 0.3577 0.3677
0.3577 0.3584 0.8677
0.3577 0.9993 0.6323
0.6423 0.0007 0.3677
0.6423 0.6416 0.1323
0.6416 0.6423 0.6323
0.6416 0.9993 0.8677
0.9993 0.3577 0.1323
0.9993 0.6416 0.3677

---

Ba4AgPtBr2 | Alexandria | GGA-PBE | relaxed; formation energy without anion corrections = -8.8 eV/f.u.; V = 316 Å³/cell
1.0
8.0654 0.0000 0.0000
0.0000 4.6399 0.0000
-2.6473 0.0000 8.4453
Ba Ag Pt Br
4 1 1 2
direct
0.2258 0.0000 0.2147
0.2449 0.5000 0.7783
0.7551 0.5000 0.2217
0.7742 0.0000 0.7853
0.5000 0.0000 0.0000
0.0000 0.5000 0.0000
0.0000 0.0000 0.5000
0.5000 0.5000 0.5000

---

RbBa2AgBr | Alexandria | GGA-PBE | relaxed; formation energy without anion corrections = -1.5 eV/f.u.; V = 280 Å³/cell
1.0
6.3017 0.0000 0.0000
0.0000 6.3017 0.0000
0.0000 0.0000 7.0607
Rb Ba Ag Br
1 2 1 1
direct
0.0000 0.0000 0.0000
0.0000 0.5000 0.5000
0.5000 0.0000 0.5000
0.5000 0.5000 0.0000
0.5000 0.5000 0.5000

---

RbBaAg2Br8 | Alexandria | GGA-PBE | relaxed; formation energy without anion corrections = -10.5 eV/f.u.; V = 422 Å³/cell
1.0
-3.9303 3.9303 6.8375
3.9303 -3.9303 6.8375
3.9303 3.9303 -6.8375
Rb Ba Ag Br
1 1 2 8
direct
0.0000 0.0000 0.0000
0.2500 0.7500 0.5000
0.5000 0.5000 0.0000
0.7500 0.2500 0.5000
0.0433 0.3408 0.9217
0.2012 0.4696 0.6329
0.4191 0.1216 0.0783
0.4316 0.7988 0.2684
0.5304 0.1632 0.7316
0.6592 0.5809 0.7026
0.8368 0.5684 0.3671
0.8784 0.9567 0.2974

---

RbBaAgBr4 | Alexandria | GGA-PBE | relaxed; formation energy without anion corrections = -10.7 eV/f.u.; V = 530 Å³/cell
1.0
7.6320 0.0000 0.0000
0.0000 7.6088 0.0000
-3.0309 0.0000 9.1353
Rb Ba Ag Br
2 2 2 8
direct
0.2432 0.2500 0.0569
0.7568 0.7500 0.9431
0.2325 0.2500 0.5573
0.7675 0.7500 0.4427
0.2386 0.7500 0.3127
0.7614 0.2500 0.6873
0.0181 0.5104 0.7273
0.0181 0.9896 0.7273
0.4361 0.7500 0.1309
0.4460 0.7500 0.5976
0.5540 0.2500 0.4024
0.5639 0.2500 0.8691
0.9819 0.0104 0.2727
0.9819 0.4896 0.2727

---

Rb2BaAgBr6 | Alexandria | GGA-PBE | relaxed; formation energy without anion corrections = -13.3 eV/f.u.; V = 406 Å³/cell
1.0
-4.1782 4.1782 5.8211
4.1782 -4.1782 5.8211
4.1782 4.1782 -5.8211
Rb Ba Ag Br
2 1 1 6
direct
0.2500 0.7500 0.5000
0.7500 0.2500 0.5000
0.0000 0.0000 0.0000
0.5000 0.5000 0.0000
0.2645 0.2645 0.5290
0.2645 0.7355 0.0000
0.2683 0.2683 0.0000
0.7317 0.7317 0.0000
0.7355 0.2645 0.0000
0.7355 0.7355 0.4710